The following is a DFT calculation (PBE-GGA) of an optimized crystal structure of SnHgSO.

```
SnHgSO
1.0
2.1812 3.0125 -5.8529
-4.5764 -0.3422 5.1989
3.5158 3.9754 3.3564
Hg Sn O S
2 2 2 2
direct
0.3528 0.6472 0.2500 Hg
0.6472 0.3528 0.7500 Hg
0.9370 0.0630 0.7500 Sn
0.0630 0.9370 0.2500 Sn
0.5000 0.5000 0.5000 O
0.5000 0.5000 0.0000 O
0.7205 0.2795 0.2500 S
0.2795 0.7205 0.7500 S
```

Calculated total energy ... -3.60 eV per atom
Energy relative to the lowest polymorph listed for this composition ... 0.355 eV per atom

---

The following is a DFT calculation (PBE-GGA) of an optimized crystal structure of SnHgSO.

```
SnHgSO
1.0
5.7119 0.0000 0.0000
0.0000 9.1335 0.0000
0.0000 0.0000 7.4035
S Sn Hg O
4 4 4 4
direct
0.7140 0.1712 0.6319 S
0.2140 0.3288 0.3681 S
0.2860 0.6712 0.8681 S
0.7860 0.8288 0.1319 S
0.6786 0.6686 0.3843 Sn
0.1786 0.8314 0.6157 Sn
0.8214 0.3314 0.8843 Sn
0.3214 0.1686 0.1157 Sn
0.7428 0.3749 0.3927 Hg
0.2572 0.8749 0.1073 Hg
0.7572 0.6251 0.8927 Hg
0.2428 0.1251 0.6073 Hg
0.6617 0.2378 0.1015 O
0.3383 0.7378 0.3985 O
0.1617 0.2622 0.8985 O
0.8383 0.7622 0.6015 O
```

Calculated total energy ... -3.95 eV per atom
Energy relative to the lowest polymorph listed for this composition ... 0.000 eV per atom